1.
Computed, not measured: a crystal of La17Zn12 relaxed with PBEsol at the meta-GGA SCAN level of DFT.

E_form, eV/atom: -0.25
SG: I-43m, No. 217
DFT total energy, eV per formula unit: -902.20

abc: 9.750 9.750 9.750
angles: 109.47 109.47 109.47
Sites, in units of the cell vectors:
La 0.000 0.000 0.000
La 0.000 0.000 0.338
La 0.000 0.297 0.578
La 0.000 0.338 0.000
La 0.000 0.578 0.297
La 0.281 0.703 0.703
La 0.297 0.000 0.578
La 0.297 0.578 0.000
La 0.338 0.000 0.000
La 0.422 0.422 0.719
La 0.422 0.719 0.422
La 0.578 0.000 0.297
La 0.578 0.297 0.000
La 0.662 0.662 0.662
La 0.703 0.281 0.703
La 0.703 0.703 0.281
La 0.719 0.422 0.422
Zn 0.000 0.640 0.830
Zn 0.000 0.830 0.640
Zn 0.170 0.170 0.810
Zn 0.170 0.810 0.170
Zn 0.190 0.360 0.360
Zn 0.360 0.190 0.360
Zn 0.360 0.360 0.190
Zn 0.640 0.000 0.830
Zn 0.640 0.830 0.000
Zn 0.810 0.170 0.170
Zn 0.830 0.000 0.640
Zn 0.830 0.640 0.000

2.
Computed, not measured: a crystal of CoSbCl2 relaxed with PBEsol at the meta-GGA SCAN level of DFT.

SG: P4/mmm, No. 123
DFT total energy, eV per formula unit: -68.27

abc: 4.885 4.885 3.149
angles: 90.00 90.00 90.00
Sites, in units of the cell vectors:
Co 0.000 0.000 0.000
Sb 0.500 0.500 0.000
Cl 0.000 0.500 0.500
Cl 0.500 0.000 0.500